(1)
! PBE BiNOF2, relaxed; values from VASP
! Excess energy over the best structure of this formula in the dataset (eV per atom): 0.6193
&SYSTEM
  ibrav = 0, nat = 5, ntyp = 4
/
ATOMIC_SPECIES
Bi 208.98 Bi.upf
N 14.01 N.upf
O 16.00 O.upf
F 19.00 F.upf
ATOMIC_POSITIONS crystal
Bi 0.000 0.000 0.000
N 0.500 0.500 0.000
O 0.500 0.500 0.500
F 0.000 0.500 0.500
F 0.500 0.000 0.500
CELL_PARAMETERS angstrom
3.888 0.000 0.000
0.000 3.888 0.000
0.000 0.000 3.871

(2)
! PBE BiNOF2, relaxed; values from VASP
! Excess energy over the best structure of this formula in the dataset (eV per atom): 0.4701
&SYSTEM
  ibrav = 0, nat = 5, ntyp = 4
/
ATOMIC_SPECIES
Bi 208.98 Bi.upf
N 14.01 N.upf
O 16.00 O.upf
F 19.00 F.upf
ATOMIC_POSITIONS crystal
Bi 0.000 0.000 0.000
N 0.500 0.500 0.500
O 0.500 0.500 0.000
F 0.000 0.500 0.500
F 0.500 0.000 0.500
CELL_PARAMETERS angstrom
3.943 0.000 0.000
0.000 3.943 0.000
0.000 0.000 3.864

(3)
An optimized crystal structure of BiN2OF. Source: Alexandria, functional PBE. Values from VASP.

Geometry as Quantum ESPRESSO input:
```
&SYSTEM
  ibrav = 0, nat = 5, ntyp = 4
/
ATOMIC_SPECIES
Bi 208.98 Bi.upf
N 14.01 N.upf
O 16.00 O.upf
F 19.00 F.upf
ATOMIC_POSITIONS crystal
Bi 0.000 0.000 0.000
N 0.000 0.500 0.500
N 0.500 0.000 0.500
O 0.500 0.500 0.500
F 0.500 0.500 0.000
CELL_PARAMETERS angstrom
3.561 0.000 0.000
0.000 3.561 0.000
0.000 0.000 4.496
```

(4)
An optimized crystal structure of BiN2OF. Source: Alexandria, functional PBE. Values from VASP.

Geometry as Quantum ESPRESSO input:
```
&SYSTEM
  ibrav = 0, nat = 5, ntyp = 4
/
ATOMIC_SPECIES
Bi 208.98 Bi.upf
N 14.01 N.upf
O 16.00 O.upf
F 19.00 F.upf
ATOMIC_POSITIONS crystal
Bi 0.000 0.000 0.000
N 0.000 0.500 0.000
N 0.500 0.000 0.000
O 0.000 0.000 0.500
F 0.500 0.500 0.500
CELL_PARAMETERS angstrom
4.560 0.000 0.000
0.000 4.560 0.000
0.000 0.000 4.129
```

(5)
! PBE BiNOF2, relaxed; values from VASP
! Excess energy over the best structure of this formula in the dataset (eV per atom): 0.0000
&SYSTEM
  ibrav = 0, nat = 5, ntyp = 4
/
ATOMIC_SPECIES
Bi 208.98 Bi.upf
N 14.01 N.upf
O 16.00 O.upf
F 19.00 F.upf
ATOMIC_POSITIONS crystal
Bi 0.000 0.000 0.000
N 0.500 0.500 0.500
O 0.000 0.000 0.500
F 0.000 0.500 0.000
F 0.500 0.000 0.000
CELL_PARAMETERS angstrom
4.514 0.000 0.000
0.000 4.514 0.000
0.000 0.000 4.164

(6)
An optimized crystal structure of BiN2OF. Source: Alexandria, functional PBE. Values from VASP.

Geometry as Quantum ESPRESSO input:
```
&SYSTEM
  ibrav = 0, nat = 5, ntyp = 4
/
ATOMIC_SPECIES
Bi 208.98 Bi.upf
N 14.01 N.upf
O 16.00 O.upf
F 19.00 F.upf
ATOMIC_POSITIONS crystal
Bi 0.000 0.000 0.000
N 0.000 0.500 0.500
N 0.500 0.000 0.500
O 0.500 0.500 0.000
F 0.500 0.500 0.500
CELL_PARAMETERS angstrom
3.585 0.000 0.000
0.000 3.585 0.000
0.000 0.000 4.864
```

(7)
! PBE BiPNF2, relaxed; values from VASP
! Excess energy over the best structure of this formula in the dataset (eV per atom): 0.3965
&SYSTEM
  ibrav = 0, nat = 5, ntyp = 4
/
ATOMIC_SPECIES
Bi 208.98 Bi.upf
P 30.97 P.upf
N 14.01 N.upf
F 19.00 F.upf
ATOMIC_POSITIONS crystal
Bi 0.000 0.000 0.000
P 0.500 0.500 0.500
N 0.000 0.000 0.500
F 0.000 0.500 0.000
F 0.500 0.000 0.000
CELL_PARAMETERS angstrom
4.465 0.000 0.000
0.000 4.465 0.000
0.000 0.000 4.795

(8)
! PBE BiPNF2, relaxed; values from VASP
! Excess energy over the best structure of this formula in the dataset (eV per atom): 0.0000
&SYSTEM
  ibrav = 0, nat = 5, ntyp = 4
/
ATOMIC_SPECIES
Bi 208.98 Bi.upf
P 30.97 P.upf
N 14.01 N.upf
F 19.00 F.upf
ATOMIC_POSITIONS crystal
Bi 0.000 0.000 0.000
P 0.500 0.500 0.500
N 0.500 0.500 0.000
F 0.000 0.500 0.500
F 0.500 0.000 0.500
CELL_PARAMETERS angstrom
4.757 0.000 0.000
0.000 4.757 0.000
0.000 0.000 3.329

(9)
! PBE BiPN2F, relaxed; values from VASP
! Excess energy over the best structure of this formula in the dataset (eV per atom): 0.9614
&SYSTEM
  ibrav = 0, nat = 5, ntyp = 4
/
ATOMIC_SPECIES
Bi 208.98 Bi.upf
P 30.97 P.upf
N 14.01 N.upf
F 19.00 F.upf
ATOMIC_POSITIONS crystal
Bi 0.000 0.000 0.000
P 0.500 0.500 0.500
N 0.000 0.500 0.000
N 0.500 0.000 0.000
F 0.000 0.000 0.500
CELL_PARAMETERS angstrom
4.366 0.000 0.000
0.000 4.366 0.000
0.000 0.000 4.262

(10)
! PBE BiPN2F, relaxed; values from VASP
! Excess energy over the best structure of this formula in the dataset (eV per atom): 0.0000
&SYSTEM
  ibrav = 0, nat = 5, ntyp = 4
/
ATOMIC_SPECIES
Bi 208.98 Bi.upf
P 30.97 P.upf
N 14.01 N.upf
F 19.00 F.upf
ATOMIC_POSITIONS crystal
Bi 0.000 0.000 0.000
P 0.500 0.500 0.500
N 0.000 0.500 0.500
N 0.500 0.000 0.500
F 0.500 0.500 0.000
CELL_PARAMETERS angstrom
3.886 0.000 0.000
0.000 3.886 0.000
0.000 0.000 3.887

(11)
! PBE BiPbNF2, relaxed; values from VASP
! Excess energy over the best structure of this formula in the dataset (eV per atom): 0.2970
&SYSTEM
  ibrav = 0, nat = 5, ntyp = 4
/
ATOMIC_SPECIES
Bi 208.98 Bi.upf
Pb 207.20 Pb.upf
N 14.01 N.upf
F 19.00 F.upf
ATOMIC_POSITIONS crystal
Bi 0.000 0.000 0.000
Pb 0.500 0.500 0.500
N 0.500 0.500 0.000
F 0.000 0.500 0.500
F 0.500 0.000 0.500
CELL_PARAMETERS angstrom
4.576 0.000 0.000
0.000 4.576 0.000
0.000 0.000 4.496

(12)
! PBE BiPbNF2, relaxed; values from VASP
! Excess energy over the best structure of this formula in the dataset (eV per atom): 0.0000
&SYSTEM
  ibrav = 0, nat = 5, ntyp = 4
/
ATOMIC_SPECIES
Bi 208.98 Bi.upf
Pb 207.20 Pb.upf
N 14.01 N.upf
F 19.00 F.upf
ATOMIC_POSITIONS crystal
Bi 0.000 0.000 0.000
Pb 0.500 0.500 0.500
N 0.000 0.000 0.500
F 0.000 0.500 0.000
F 0.500 0.000 0.000
CELL_PARAMETERS angstrom
4.598 0.000 0.000
0.000 4.598 0.000
0.000 0.000 4.602

| no. | E (eV/atom) | E_form (uncorrected) (meV per atom) |
| --- | --- | --- |
| 1 | -3.8331 | 348 |
| 2 | -3.9822 | 199 |
| 3 | -4.2720 | 1200 |
| 4 | -4.1317 | 1341 |
| 5 | -4.4524 | -271 |
| 6 | -3.8720 | 1600 |
| 7 | -4.2309 | 41 |
| 8 | -4.6274 | -356 |
| 9 | -4.3104 | 1252 |
| 10 | -5.2719 | 291 |
| 11 | -4.3147 | -383 |
| 12 | -4.6117 | -680 |